Entry from the Alexandria database: crystalline K2Dy2TeS6 at its relaxed geometry (PBE).

The structure belongs to space group C2/m (No. 12); the cell edges are 6.920, 11.922 and 7.892 Å and the angles 90.00°, 106.83° and 90.00°. Symmetry generates all atoms from K at (0.000, 0.167, 0.000), Dy at (0.000, 0.334, 0.500), Te at (0.000, 0.000, 0.500), S at (0.227, 0.163, 0.696) and S at (0.241, 0.500, 0.696).

Its formation energy (no corrections) is -1358.8 meV/atom. The uncorrected energy comes out at -4.932 eV/atom.

Entry from the Alexandria database: crystalline KDy4ThS8 at its relaxed geometry (PBE).

The structure belongs to space group R3m (No. 160, hexagonal axes); the cell edges are 8.1882, 8.1882 and 20.4689 Å and the angles 90.00°, 90.00° and 120.00°. Symmetry generates all atoms from K at (0.0000, 0.0000, 0.0000), Dy at (0.0000, 0.0000, 0.7438), Dy at (0.0095, 0.5048, 0.8725), Th at (0.0000, 0.0000, 0.3682), S at (0.0000, 0.0000, 0.1391), S at (0.0000, 0.0000, 0.6130), S at (0.0171, 0.5086, 0.1251) and S at (0.1872, 0.3744, 0.9483).

Its formation energy (no corrections) is -1875.5 meV/atom. The uncorrected energy comes out at -6.157 eV/atom.

Entry from the Alexandria database: crystalline K4DyTh3S8 at its relaxed geometry (PBE).

The structure belongs to space group R-3m (No. 166, hexagonal axes); the cell edges are 8.1732, 8.1732 and 22.4557 Å and the angles 90.00°, 90.00° and 120.00°. Symmetry generates all atoms from K at (0.0000, 0.0000, 0.0000), K at (0.0000, 0.5000, 0.0000), Dy at (0.0000, 0.0000, 0.5000), Th at (0.0000, 0.5000, 0.5000), S at (0.0000, 0.0000, 0.2388) and S at (0.0051, 0.5025, 0.2365).

Its formation energy (no corrections) is -1721.6 meV/atom. The uncorrected energy comes out at -5.739 eV/atom.

Entry from the Alexandria database: crystalline K4Dy3ThS8 at its relaxed geometry (PBE).

The structure belongs to space group R-3m (No. 166, hexagonal axes); the cell edges are 8.1334, 8.1334 and 22.1712 Å and the angles 90.00°, 90.00° and 120.00°. Symmetry generates all atoms from K at (0.0000, 0.0000, 0.0000), K at (0.0000, 0.5000, 0.0000), Dy at (0.0000, 0.5000, 0.5000), Th at (0.0000, 0.0000, 0.5000), S at (0.0000, 0.0000, 0.2340) and S at (0.0028, 0.5014, 0.7648).

Its formation energy (no corrections) is -1830.6 meV/atom. The uncorrected energy comes out at -5.495 eV/atom.

Entry from the Alexandria database: crystalline K3DyTh2S6 at its relaxed geometry (PBE).

The structure belongs to space group C2/m (No. 12); the cell edges are 7.078, 12.259 and 7.824 Å and the angles 90.00°, 107.55° and 90.00°. Symmetry generates all atoms from K at (0.000, 0.000, 0.000), K at (0.000, 0.333, 0.000), Dy at (0.000, 0.500, 0.500), Th at (0.000, 0.167, 0.500), S at (0.235, 0.335, 0.710) and S at (0.241, 0.000, 0.710).

Its formation energy (no corrections) is -1737.9 meV/atom. The uncorrected energy comes out at -5.696 eV/atom.

Entry from the Alexandria database: crystalline KDyTiS4 at its relaxed geometry (PBE).

The structure belongs to space group P2_1/m (No. 11); the cell edges are 6.629, 6.767 and 8.802 Å and the angles 90.00°, 107.76° and 90.00°. Symmetry generates all atoms from K at (0.235, 0.250, 0.440), Dy at (0.290, 0.250, 0.953), Ti at (0.258, 0.750, 0.169), S at (0.048, 0.750, 0.919), S at (0.050, 0.750, 0.327) and S at (0.498, 0.003, 0.205).

Its formation energy (no corrections) is -1593.3 meV/atom. The uncorrected energy comes out at -5.894 eV/atom.